# 1
An optimized crystal structure of La6PmEr2Th, computed with PBE-GGA.

Geometry as CIF:
```
data_La6PmEr2Th
_symmetry_space_group_name_H-M 'C 1 2/c 1'
_symmetry_Int_Tables_number 15
_symmetry_space_group_name_Hall '-C 2yc'
_cell_length_a 9.470
_cell_length_b 15.160
_cell_length_c 9.956
_cell_angle_alpha 90.00
_cell_angle_beta 99.10
_cell_angle_gamma 90.00
loop_
_atom_site_label
_atom_site_fract_x
_atom_site_fract_y
_atom_site_fract_z
La1 0.070 0.171 0.441
La2 0.096 0.397 0.621
La3 0.206 0.217 0.811
Pm1 0.000 0.405 0.250
Er1 0.238 0.043 0.052
Th1 0.000 0.032 0.750
```

Values from the calculation:
Calculated density = 7.27 g/cm3
DFT total energy = -198.6 eV for the cell shown
Energy of formation from the pure elements = 1.21 eV/f.u.

=====

# 2
An optimized crystal structure of LaPmErTh, computed with PBE-GGA.

Geometry as CIF:
```
data_LaPmErTh
_symmetry_space_group_name_H-M 'P 4 m m'
_symmetry_Int_Tables_number 99
_symmetry_space_group_name_Hall 'P 4 -2'
_cell_length_a 3.618
_cell_length_b 3.618
_cell_length_c 10.259
_cell_angle_alpha 90.00
_cell_angle_beta 90.00
_cell_angle_gamma 90.00
loop_
_atom_site_label
_atom_site_fract_x
_atom_site_fract_y
_atom_site_fract_z
La1 0.000 0.000 0.000
Pm1 0.500 0.500 0.730
Er1 0.500 0.500 0.258
Th1 0.000 0.000 0.490
```

Values from the calculation:
E above lowest polymorph = 0.000 eV/atom
Calculated density = 8.45 g/cm3
DFT total energy = -21.6 eV for the cell shown
Energy of formation from the pure elements = 0.10 eV/f.u.

=====

# 3
An optimized crystal structure of LaPmErTh, computed with PBE-GGA.

Geometry as CIF:
```
data_LaPmErTh
_symmetry_space_group_name_H-M 'F -4 3 m'
_symmetry_Int_Tables_number 216
_symmetry_space_group_name_Hall 'F -4 2 3'
_cell_length_a 8.133
_cell_length_b 8.133
_cell_length_c 8.133
_cell_angle_alpha 90.00
_cell_angle_beta 90.00
_cell_angle_gamma 90.00
loop_
_atom_site_label
_atom_site_fract_x
_atom_site_fract_y
_atom_site_fract_z
La1 0.000 0.000 0.000
Pm1 0.250 0.250 0.750
Er1 0.250 0.250 0.250
Th1 0.000 0.000 0.500
```

Values from the calculation:
E above lowest polymorph = 0.120 eV/atom
Calculated density = 8.43 g/cm3
DFT total energy = -84.3 eV for the cell shown
Energy of formation from the pure elements = 0.58 eV/f.u.